! BaTlAsBr2 (PBE-GGA, optimized geometry); values from VASP
&SYSTEM
  ibrav = 0, nat = 5, ntyp = 4
/
ATOMIC_SPECIES
As 74.92 As.upf
Ba 137.33 Ba.upf
Tl 204.38 Tl.upf
Br 79.90 Br.upf
CELL_PARAMETERS angstrom
-4.9176 2.5572 -2.8948
-3.1862 -5.3348 0.7001
-2.2801 2.1154 5.7421
ATOMIC_POSITIONS crystal
As 0.0000 0.0000 0.5000
Ba 0.0000 0.0000 0.0000
Tl 0.5000 0.5000 0.5000
Br 0.0000 0.5000 0.0000
Br 0.5000 0.0000 0.0000
! Energy above the lowest structure with this stoichiometry = 0.038 eV per atom

=====

Density functional theory data (PBE-GGA) for a relaxed BaTl2AsBr crystal. Values from VASP.

Quantum ESPRESSO input file:
```
&SYSTEM
  ibrav = 0, nat = 5, ntyp = 4
/
ATOMIC_SPECIES
As 74.92 As.upf
Br 79.90 Br.upf
Tl 204.38 Tl.upf
Ba 137.33 Ba.upf
CELL_PARAMETERS angstrom
-1.7273 5.4221 -0.8900
-2.3207 0.2481 6.0150
5.0891 1.9304 1.8839
ATOMIC_POSITIONS crystal
As 0.0000 0.0000 0.0000
Br 0.5000 0.5000 0.5000
Tl 0.5000 0.0000 0.0000
Tl 0.0000 0.0000 0.5000
Ba 0.0000 0.5000 0.0000
```

=====

! BaTlAs2Br (PBE-GGA, optimized geometry); values from VASP
&SYSTEM
  ibrav = 0, nat = 5, ntyp = 4
/
ATOMIC_SPECIES
As 74.92 As.upf
Tl 204.38 Tl.upf
Ba 137.33 Ba.upf
Br 79.90 Br.upf
CELL_PARAMETERS angstrom
-2.4218 4.7379 -3.5994
-5.7448 -2.8738 0.0826
-1.4944 3.1349 5.1320
ATOMIC_POSITIONS crystal
As 0.0000 0.5000 0.0000
As 0.5000 0.0000 0.0000
Tl 0.5000 0.5000 0.5000
Ba 0.0000 0.0000 0.0000
Br 0.0000 0.0000 0.5000
! Energy above the lowest structure with this stoichiometry = 0.421 eV per atom

=====

! BaTlAsBr2 (PBE-GGA, optimized geometry); values from VASP
&SYSTEM
  ibrav = 0, nat = 5, ntyp = 4
/
ATOMIC_SPECIES
Ba 137.33 Ba.upf
As 74.92 As.upf
Br 79.90 Br.upf
Tl 204.38 Tl.upf
CELL_PARAMETERS angstrom
5.8246 0.0000 0.0000
0.0000 5.8246 0.0000
0.0000 0.0000 5.4482
ATOMIC_POSITIONS crystal
Ba 0.5000 0.5000 0.5000
As 0.0000 0.0000 0.5000
Br 0.5000 0.0000 0.0000
Br 0.0000 0.5000 0.0000
Tl 0.0000 0.0000 0.0000
! Energy above the lowest structure with this stoichiometry = 0.000 eV per atom

=====

These records have formation energy (no corrections) values of -0.6430, -0.4596, 0.1379, -0.6812 eV per atom, in the order they appear.